The following is a DFT calculation (GGA-PBE) of an optimized crystal structure of RbLi2YBr6.

Unit cell a=7.3382 b=7.3555 c=7.9811 alpha=62.65 beta=62.81 gamma=60.15
Last column: nearest neighbours and their distance in Å.
Fractional coordinates of all 10 atoms:
Rb  0.0000  0.0000  0.0000  6 Br 3.33-3.56
Li  0.2152  0.2090  0.3624  3 Br 2.65-2.66
Li  0.7276  0.7280  0.8159  3 Br 2.70-2.71
Y  0.5248  0.5250  0.4238  6 Br 2.83
Br  0.1163  0.7896  0.6255  1 Li 2.71, 1 Y 2.83
Br  0.3837  0.5222  0.1499  1 Li 2.65, 1 Y 2.83
Br  0.4670  0.1158  0.6255  1 Li 2.71, 1 Y 2.83
Br  0.5231  0.9410  0.1497  1 Li 2.65, 1 Y 2.83
Br  0.7891  0.4679  0.6269  1 Li 2.70, 1 Y 2.83
Br  0.9412  0.3839  0.1515  1 Li 2.66, 1 Y 2.83

Computed properties:
For the calculated volume, the calculation gives 317.0 Å³/f.u. As for the symmetry: P1 (1). The formation energy (no corrections) comes out at -1.69 eV per atom.

=====

The following is a DFT calculation (GGA-PBE) of an optimized crystal structure of MnTeOs2.

Unit cell a=9.1596 b=2.9938 c=4.7270 alpha=90.00 beta=97.80 gamma=90.00
Last column: nearest neighbours and their distance in Å.
Fractional coordinates of all 8 atoms:
Mn  0.0000  0.0000  0.0000  5 Os 2.58-2.77, 1 Te 2.66
Mn  0.5000  0.5000  0.0000  5 Os 2.58-2.77, 1 Te 2.66
Te  0.2410  0.0000  0.7431  3 Mn 2.66-2.93, 5 Os 2.77-2.82
Te  0.7410  0.5000  0.7431  3 Mn 2.66-2.93, 5 Os 2.77-2.82
Os  0.2405  0.5000  0.2361  5 Os 2.70-2.99, 3 Mn 2.76-2.77, 4 Te 2.77-2.82
Os  0.4782  0.0000  0.4359  2 Mn 2.58, 3 Os 2.70, 1 Te 2.77
Os  0.7405  0.0000  0.2361  5 Os 2.70-2.99, 3 Mn 2.76-2.77, 4 Te 2.77-2.82
Os  0.9782  0.5000  0.4359  2 Mn 2.58, 3 Os 2.70, 1 Te 2.77

Computed properties:
For the calculated volume, the calculation gives 64.2 Å³/f.u. As for the symmetry: Cm (8). The formation energy (no corrections) comes out at 0.61 eV per atom.

=====

The following is a DFT calculation (GGA-PBE) of an optimized crystal structure of MnCuMo2.

Unit cell a=5.2919 b=8.1983 c=2.6250 alpha=90.00 beta=100.05 gamma=90.00
Last column: nearest neighbours and their distance in Å.
Fractional coordinates of all 8 atoms:
Mn  0.0000  0.0000  0.0000  2 Mn 2.62, 2 Cu 2.65, 8 Mo 2.66-2.88
Mn  0.5000  0.5000  0.0000  2 Mn 2.62, 2 Cu 2.65, 8 Mo 2.66-2.88
Cu  0.0000  0.5000  0.0000  2 Cu 2.62, 2 Mn 2.65, 8 Mo 2.66-2.88
Cu  0.5000  0.0000  0.0000  2 Cu 2.62, 2 Mn 2.65, 8 Mo 2.66-2.88
Mo  0.2500  0.2500  0.5000  4 Mo 2.62-2.65, 4 Mn 2.66-2.88, 4 Cu 2.66-2.88
Mo  0.2500  0.7500  0.5000  4 Mo 2.62-2.65, 4 Mn 2.66-2.88, 4 Cu 2.66-2.88
Mo  0.7500  0.2500  0.5000  4 Mo 2.62-2.65, 4 Mn 2.66-2.88, 4 Cu 2.66-2.88
Mo  0.7500  0.7500  0.5000  4 Mo 2.62-2.65, 4 Mn 2.66-2.88, 4 Cu 2.66-2.88

Computed properties:
For the calculated volume, the calculation gives 56.1 Å³/f.u. As for the symmetry: C2/m (12). Its formation energy is 0.22 eV per atom.

=====

Please write out number 2 again, unchanged.
The following is a DFT calculation (GGA-PBE) of an optimized crystal structure of MnTeOs2.

Unit cell a=9.1596 b=2.9938 c=4.7270 alpha=90.00 beta=97.80 gamma=90.00
Last column: nearest neighbours and their distance in Å.
Fractional coordinates of all 8 atoms:
Mn  0.0000  0.0000  0.0000  5 Os 2.58-2.77, 1 Te 2.66
Mn  0.5000  0.5000  0.0000  5 Os 2.58-2.77, 1 Te 2.66
Te  0.2410  0.0000  0.7431  3 Mn 2.66-2.93, 5 Os 2.77-2.82
Te  0.7410  0.5000  0.7431  3 Mn 2.66-2.93, 5 Os 2.77-2.82
Os  0.2405  0.5000  0.2361  5 Os 2.70-2.99, 3 Mn 2.76-2.77, 4 Te 2.77-2.82
Os  0.4782  0.0000  0.4359  2 Mn 2.58, 3 Os 2.70, 1 Te 2.77
Os  0.7405  0.0000  0.2361  5 Os 2.70-2.99, 3 Mn 2.76-2.77, 4 Te 2.77-2.82
Os  0.9782  0.5000  0.4359  2 Mn 2.58, 3 Os 2.70, 1 Te 2.77

Computed properties:
For the calculated volume, the calculation gives 64.2 Å³/f.u. As for the symmetry: Cm (8). The formation energy (no corrections) comes out at 0.61 eV per atom.

=====

The lowest calculated volume belongs to which entry? MnCuMo2

=====

Among the records above, which one has the lowest calculated volume? MnCuMo2

=====

What is the formula in the first record? RbLi2YBr6